1.
First-principles (PBE) data for an optimized crystal structure of CaGe2IrPd, as listed in the Alexandria database.

Cell lengths 4.197, 4.197, 6.074 Å; angles 110.21, 110.21, 90.00 degrees
Atoms (fractional coordinates):
Ge (0.621, 0.621, 0.243)
Ge (0.379, 0.379, 0.757)
Pd (0.750, 0.250, 0.500)
Ca (0.000, 0.000, 0.000)
Ir (0.250, 0.750, 0.500)

Values from the calculation:
Uncorrected energy in eV per atom: -5.71
Energy relative to the lowest polymorph listed for this composition in eV/atom: 0.000

2.
First-principles (PBE) data for an optimized crystal structure of CaPm2GeIr2, as listed in the Alexandria database.

Cell lengths 5.674, 5.674, 6.690 Å; angles 115.09, 115.09, 90.00 degrees
Atoms (fractional coordinates):
Ge (0.000, 0.000, 0.000)
Ir (0.221, 0.221, 0.442)
Ir (0.779, 0.779, 0.558)
Ca (0.500, 0.500, 0.000)
Pm (0.250, 0.750, 0.500)
Pm (0.750, 0.250, 0.500)

Values from the calculation:
Uncorrected energy in eV per atom: -6.01

3.
First-principles (PBE) data for an optimized crystal structure of CaGeIrPt2, as listed in the Alexandria database.

Cell lengths 4.726, 4.635, 4.726 Å; angles 90.00, 90.00, 90.00 degrees
Atoms (fractional coordinates):
Ca (0.500, 0.500, 0.500)
Pt (0.500, 0.000, 0.000)
Ge (0.000, 0.000, 0.000)
Ir (0.000, 0.500, 0.000)
Pt (0.000, 0.000, 0.500)

Values from the calculation:
Uncorrected energy in eV per atom: -5.59

4.
First-principles (PBE) data for an optimized crystal structure of Ca2Ge4IrPt3, as listed in the Alexandria database.

Cell lengths 4.186, 4.186, 10.754 Å; angles 90.00, 90.00, 90.00 degrees
Atoms (fractional coordinates):
Ge (0.000, 0.000, 0.000)
Pt (0.500, 0.000, 0.863)
Ge (0.000, 0.500, 0.367)
Pt (0.000, 0.500, 0.137)
Ge (0.500, 0.500, 0.000)
Ca (0.500, 0.000, 0.250)
Ca (0.000, 0.500, 0.750)
Ir (0.500, 0.500, 0.500)
Ge (0.500, 0.000, 0.633)
Pt (0.000, 0.000, 0.500)

Values from the calculation:
Uncorrected energy in eV per atom: -5.71

5.
First-principles (PBE) data for an optimized crystal structure of CaGe2IrPt, as listed in the Alexandria database.

Cell lengths 4.156, 4.156, 6.131 Å; angles 109.81, 109.81, 90.00 degrees
Atoms (fractional coordinates):
Ge (0.620, 0.620, 0.239)
Pt (0.750, 0.250, 0.500)
Ca (0.000, 0.000, 0.000)
Ir (0.250, 0.750, 0.500)
Ge (0.380, 0.380, 0.761)

Values from the calculation:
Uncorrected energy in eV per atom: -5.90
Energy relative to the lowest polymorph listed for this composition in eV/atom: 0.000

6.
First-principles (PBE) data for an optimized crystal structure of CaGe2IrPt, as listed in the Alexandria database.

Cell lengths 4.669, 5.467, 4.669 Å; angles 90.00, 90.00, 90.00 degrees
Atoms (fractional coordinates):
Pt (0.500, 0.500, 0.500)
Ge (0.500, 0.000, 0.000)
Ir (0.000, 0.000, 0.000)
Ge (0.000, 0.000, 0.500)
Ca (0.000, 0.500, 0.000)

Values from the calculation:
Uncorrected energy in eV per atom: -5.24
Energy relative to the lowest polymorph listed for this composition in eV/atom: 0.659

7.
First-principles (PBE) data for an optimized crystal structure of Ca2Ge3IrPt4, as listed in the Alexandria database.

Cell lengths 4.081, 4.081, 11.290 Å; angles 90.00, 90.00, 90.00 degrees
Atoms (fractional coordinates):
Ge (0.000, 0.500, 0.136)
Ca (0.000, 0.500, 0.745)
Ge (0.000, 0.000, 0.500)
Pt (0.500, 0.000, 0.651)
Pt (0.000, 0.500, 0.349)
Ir (0.500, 0.500, 0.500)
Ge (0.500, 0.000, 0.864)
Pt (0.000, 0.000, 0.000)
Ca (0.500, 0.000, 0.255)
Pt (0.500, 0.500, 0.000)

Values from the calculation:
Uncorrected energy in eV per atom: -5.73

8.
First-principles (PBE) data for an optimized crystal structure of Ca2Ge4Ir3Rh, as listed in the Alexandria database.

Cell lengths 4.258, 4.258, 10.172 Å; angles 90.00, 90.00, 90.00 degrees
Atoms (fractional coordinates):
Ge (0.500, 0.500, 0.000)
Ir (0.500, 0.000, 0.871)
Ir (0.000, 0.000, 0.500)
Ca (0.500, 0.000, 0.250)
Ge (0.000, 0.000, 0.000)
Rh (0.500, 0.500, 0.500)
Ir (0.000, 0.500, 0.129)
Ca (0.000, 0.500, 0.750)
Ge (0.000, 0.500, 0.372)
Ge (0.500, 0.000, 0.628)

Values from the calculation:
Uncorrected energy in eV per atom: -6.32

9.
First-principles (PBE) data for an optimized crystal structure of Ca2Ge2IrRh, as listed in the Alexandria database.

Cell lengths 5.958, 5.955, 8.138 Å; angles 111.46, 111.47, 90.00 degrees
Atoms (fractional coordinates):
Rh (0.500, 0.750, 0.000)
Ge (0.349, 0.601, 0.202)
Ir (0.000, 0.750, 0.000)
Ir (0.000, 0.250, 0.000)
Ca (0.585, 0.837, 0.675)
Ca (0.910, 0.663, 0.325)
Ca (0.415, 0.163, 0.325)
Ge (0.147, 0.899, 0.798)
Ge (0.651, 0.399, 0.798)
Rh (0.500, 0.250, 0.000)
Ge (0.853, 0.101, 0.202)
Ca (0.090, 0.337, 0.675)

Values from the calculation:
Uncorrected energy in eV per atom: -5.62

10.
First-principles (PBE) data for an optimized crystal structure of CaGe2IrRh, as listed in the Alexandria database.

Cell lengths 4.188, 4.188, 6.010 Å; angles 110.39, 110.39, 90.00 degrees
Atoms (fractional coordinates):
Ge (0.625, 0.625, 0.251)
Ca (0.000, 0.000, 0.000)
Ge (0.375, 0.375, 0.749)
Ir (0.750, 0.250, 0.500)
Rh (0.250, 0.750, 0.500)

Values from the calculation:
Uncorrected energy in eV per atom: -6.23

11.
First-principles (PBE) data for an optimized crystal structure of CaGe2IrRu, as listed in the Alexandria database.

Cell lengths 4.248, 4.248, 5.926 Å; angles 111.00, 111.00, 90.00 degrees
Atoms (fractional coordinates):
Ru (0.250, 0.750, 0.500)
Ge (0.371, 0.371, 0.742)
Ca (0.000, 0.000, 0.000)
Ir (0.750, 0.250, 0.500)
Ge (0.629, 0.629, 0.258)

Values from the calculation:
Uncorrected energy in eV per atom: -6.49

12.
First-principles (PBE) data for an optimized crystal structure of Ca2Ge4Ir3Ru, as listed in the Alexandria database.

Cell lengths 4.303, 4.303, 9.988 Å; angles 90.00, 90.00, 90.00 degrees
Atoms (fractional coordinates):
Ge (0.000, 0.000, 0.000)
Ir (0.000, 0.000, 0.500)
Ca (0.500, 0.000, 0.256)
Ge (0.500, 0.000, 0.623)
Ir (0.000, 0.500, 0.128)
Ge (0.500, 0.500, 0.000)
Ir (0.500, 0.000, 0.872)
Ge (0.000, 0.500, 0.377)
Ca (0.000, 0.500, 0.744)
Ru (0.500, 0.500, 0.500)

Values from the calculation:
Uncorrected energy in eV per atom: -6.43

13.
First-principles (PBE) data for an optimized crystal structure of Ca2Ge2IrRu, as listed in the Alexandria database.

Cell lengths 6.071, 6.070, 8.023 Å; angles 112.20, 112.23, 90.00 degrees
Atoms (fractional coordinates):
Ru (0.500, 0.250, 0.000)
Ge (0.645, 0.403, 0.805)
Ge (0.841, 0.097, 0.195)
Ir (0.000, 0.750, 0.000)
Ca (0.914, 0.660, 0.320)
Ca (0.594, 0.840, 0.680)
Ca (0.086, 0.340, 0.680)
Ge (0.159, 0.903, 0.805)
Ru (0.500, 0.750, 0.000)
Ca (0.406, 0.160, 0.320)
Ir (0.000, 0.250, 0.000)
Ge (0.355, 0.597, 0.195)

Values from the calculation:
Uncorrected energy in eV per atom: -5.85

14.
First-principles (PBE) data for an optimized crystal structure of Ca2Ge3SbIr4, as listed in the Alexandria database.

Cell lengths 4.298, 4.298, 10.436 Å; angles 90.00, 90.00, 90.00 degrees
Atoms (fractional coordinates):
Ir (0.000, 0.500, 0.363)
Ir (0.000, 0.000, 0.000)
Ge (0.000, 0.000, 0.500)
Ir (0.500, 0.500, 0.000)
Ge (0.000, 0.500, 0.126)
Ca (0.500, 0.000, 0.240)
Ir (0.500, 0.000, 0.637)
Ge (0.500, 0.000, 0.874)
Sb (0.500, 0.500, 0.500)
Ca (0.000, 0.500, 0.760)

Values from the calculation:
Uncorrected energy in eV per atom: -6.32
ΔE_f (raw) in meV per atom: -574

15.
First-principles (PBE) data for an optimized crystal structure of Ca2ScGe3Ir4, as listed in the Alexandria database.

Cell lengths 4.153, 4.153, 10.978 Å; angles 90.00, 90.00, 90.00 degrees
Atoms (fractional coordinates):
Ir (0.000, 0.000, 0.000)
Ca (0.500, 0.000, 0.235)
Ir (0.500, 0.000, 0.646)
Ca (0.000, 0.500, 0.765)
Ir (0.000, 0.500, 0.354)
Ir (0.500, 0.500, 0.000)
Ge (0.000, 0.000, 0.500)
Ge (0.500, 0.000, 0.875)
Ge (0.000, 0.500, 0.125)
Sc (0.500, 0.500, 0.500)

Values from the calculation:
Uncorrected energy in eV per atom: -6.68

16.
First-principles (PBE) data for an optimized crystal structure of Ca2Si2GeIr5, as listed in the Alexandria database.

Cell lengths 3.401, 9.788, 9.788 Å; angles 90.00, 90.00, 90.00 degrees
Atoms (fractional coordinates):
Ca (0.000, 0.674, 0.174)
Ir (0.500, 0.568, 0.708)
Si (0.000, 0.874, 0.374)
Ge (0.000, 0.500, 0.500)
Ir (0.500, 0.292, 0.568)
Si (0.000, 0.626, 0.874)
Ir (0.500, 0.708, 0.432)
Ca (0.000, 0.826, 0.674)
Ir (0.500, 0.432, 0.292)
Ca (0.000, 0.174, 0.326)
Ca (0.000, 0.326, 0.826)
Si (0.000, 0.126, 0.626)
Ir (0.500, 0.068, 0.792)
Ir (0.500, 0.792, 0.932)
Ir (0.500, 0.000, 0.500)
Si (0.000, 0.374, 0.126)
Ge (0.000, 0.000, 0.000)
Ir (0.500, 0.208, 0.068)
Ir (0.500, 0.932, 0.208)
Ir (0.500, 0.500, 0.000)

Values from the calculation:
Uncorrected energy in eV per atom: -6.96
ΔE_f (raw) in meV per atom: -585

17.
First-principles (PBE) data for an optimized crystal structure of Ca2Si3GeIr4, as listed in the Alexandria database.

Cell lengths 4.178, 4.178, 9.958 Å; angles 90.00, 90.00, 90.00 degrees
Atoms (fractional coordinates):
Si (0.000, 0.000, 0.500)
Ir (0.000, 0.500, 0.368)
Ge (0.500, 0.500, 0.500)
Ca (0.500, 0.000, 0.250)
Ir (0.500, 0.000, 0.632)
Si (0.000, 0.500, 0.126)
Ca (0.000, 0.500, 0.750)
Si (0.500, 0.000, 0.874)
Ir (0.000, 0.000, 0.000)
Ir (0.500, 0.500, 0.000)

Values from the calculation:
Uncorrected energy in eV per atom: -6.87
ΔE_f (raw) in meV per atom: -834

18.
First-principles (PBE) data for an optimized crystal structure of Ca2SnGe3Ir4, as listed in the Alexandria database.

Cell lengths 4.266, 4.266, 10.572 Å; angles 90.00, 90.00, 90.00 degrees
Atoms (fractional coordinates):
Ge (0.500, 0.000, 0.875)
Ca (0.500, 0.000, 0.239)
Ge (0.000, 0.000, 0.500)
Ir (0.500, 0.000, 0.642)
Ir (0.500, 0.500, 0.000)
Ir (0.000, 0.000, 0.000)
Ca (0.000, 0.500, 0.761)
Ge (0.000, 0.500, 0.125)
Ir (0.000, 0.500, 0.358)
Sn (0.500, 0.500, 0.500)

Values from the calculation:
Uncorrected energy in eV per atom: -6.31

19.
First-principles (PBE) data for an optimized crystal structure of CaTcGe2Ir, as listed in the Alexandria database.

Cell lengths 4.292, 4.292, 5.920 Å; angles 111.25, 111.25, 90.00 degrees
Atoms (fractional coordinates):
Ge (0.629, 0.629, 0.259)
Ge (0.371, 0.371, 0.741)
Ca (0.000, 0.000, 0.000)
Ir (0.750, 0.250, 0.500)
Tc (0.250, 0.750, 0.500)

Values from the calculation:
Uncorrected energy in eV per atom: -6.59

20.
First-principles (PBE) data for an optimized crystal structure of Ca2GeTeIr, as listed in the Alexandria database.

Cell lengths 5.552, 5.552, 4.652 Å; angles 90.00, 90.00, 90.00 degrees
Atoms (fractional coordinates):
Ir (0.000, 0.000, 0.000)
Ca (0.000, 0.500, 0.000)
Ge (0.000, 0.000, 0.500)
Ca (0.500, 0.000, 0.000)
Te (0.500, 0.500, 0.500)

Values from the calculation:
Uncorrected energy in eV per atom: -4.82
ΔE_f (raw) in meV per atom: -694